# 1
AlZnPt2: optimized geometry, PBE-GGA.

- space group = Pmmm
- DOS at the Fermi energy (states/eV/atom) = 0.318
- electronic total energy (eV/f.u.) = -20.3

Cell and atoms, written as POSCAR:
```
AlZnPt2
1.0
2.867 0.000 0.000
0.000 3.550 0.000
0.000 0.000 5.734
Al Zn Pt
1 1 2
direct
0.000 0.000 0.000
0.000 0.000 0.500
0.500 0.500 0.245
0.500 0.500 0.755
```


# 2
Tl2AsPd2: optimized geometry, PBE-GGA.

- space group = P-1
- DOS at the Fermi energy (states/eV/atom) = 0.429
- electronic total energy (eV/f.u.) = -20.7
- distance to the lowest polymorph of the same formula (kcal/mol of atoms) = 0.000

Cell and atoms, written as POSCAR:
```
Tl2AsPd2
1.0
5.634 0.000 0.000
-2.361 5.457 0.000
-0.192 -0.522 7.162
Tl As Pd
4 2 4
direct
0.081 0.305 0.152
0.245 0.308 0.633
0.755 0.692 0.367
0.919 0.695 0.848
0.348 0.916 0.226
0.652 0.084 0.774
0.274 0.804 0.562
0.432 0.698 0.937
0.568 0.302 0.063
0.726 0.196 0.438
```


# 3
AlZn3Pb: optimized geometry, PBE-GGA.

- space group = Pm-3m
- DOS at the Fermi energy (states/eV/atom) = 0.492
- electronic total energy (eV/f.u.) = -7.3
- distance to the lowest polymorph of the same formula (kcal/mol of atoms) = 9.357

Cell and atoms, written as POSCAR:
```
AlZn3Pb
1.0
5.334 0.000 0.000
0.000 5.334 0.000
0.000 0.000 5.334
Al Zn Pb
1 3 1
direct
0.000 0.000 0.000
0.000 0.500 0.500
0.500 0.000 0.500
0.500 0.500 0.000
0.500 0.500 0.500
```


# 4
GdHoNiAu: optimized geometry, PBE-GGA.

- space group = F-43m
- DOS at the Fermi energy (states/eV/atom) = 0.770
- electronic total energy (eV/f.u.) = -30.0

Cell and atoms, written as POSCAR:
```
GdHoNiAu
1.0
0.000 3.517 3.517
3.517 0.000 3.517
3.517 3.517 0.000
Gd Ho Ni Au
1 1 1 1
direct
0.000 0.000 0.000
0.500 0.500 0.500
0.750 0.750 0.750
0.250 0.250 0.250
```


# 5
ScFe2H2: optimized geometry, PBE-GGA.

- space group = P4/mbm
- DOS at the Fermi energy (states/eV/atom) = 0.881
- electronic total energy (eV/f.u.) = -28.6
- distance to the lowest polymorph of the same formula (kcal/mol of atoms) = 7.042

Cell and atoms, written as POSCAR:
```
ScFe2H2
1.0
5.705 0.000 0.000
0.000 5.705 0.000
0.000 0.000 2.888
Sc Fe H
2 4 4
direct
0.000 0.000 0.000
0.500 0.500 0.000
0.133 0.367 0.500
0.367 0.867 0.500
0.633 0.133 0.500
0.867 0.633 0.500
0.118 0.618 0.000
0.382 0.118 0.000
0.618 0.882 0.000
0.882 0.382 0.000
```


# 6
Al3TeRu: optimized geometry, PBE-GGA.

- space group = Pm-3m
- ΔE_f (raw) (eV per atom) = 0.046
- DOS at the Fermi energy (states/eV/atom) = 0.534
- electronic total energy (eV/f.u.) = -23.4
- distance to the lowest polymorph of the same formula (kcal/mol of atoms) = 0.000

Cell and atoms, written as POSCAR:
```
Al3TeRu
1.0
4.786 0.000 0.000
0.000 4.786 0.000
0.000 0.000 4.786
Al Te Ru
3 1 1
direct
0.000 0.000 0.500
0.000 0.500 0.000
0.500 0.000 0.000
0.500 0.500 0.500
0.000 0.000 0.000
```


# 7
LuCo2Cu: optimized geometry, PBE-GGA.

- space group = P4/mmm
- DOS at the Fermi energy (states/eV/atom) = 1.124
- electronic total energy (eV/f.u.) = -22.9

Cell and atoms, written as POSCAR:
```
LuCo2Cu
1.0
3.861 0.000 0.000
0.000 3.861 0.000
0.000 0.000 3.775
Lu Co Cu
1 2 1
direct
0.000 0.000 0.000
0.000 0.500 0.500
0.500 0.000 0.500
0.500 0.500 0.000
```


# 8
PrTmMgOs: optimized geometry, PBE-GGA.

- space group = F-43m
- DOS at the Fermi energy (states/eV/atom) = 0.737
- electronic total energy (eV/f.u.) = -22.3

Cell and atoms, written as POSCAR:
```
PrTmMgOs
1.0
0.000 3.582 3.582
3.582 0.000 3.582
3.582 3.582 0.000
Pr Tm Mg Os
1 1 1 1
direct
0.000 0.000 0.000
0.500 0.500 0.500
0.250 0.250 0.250
0.750 0.750 0.750
```